InPSe2 after structural relaxation. Source: the Alexandria database, functional PBEsol.

Values from the calculation:
Space-group type: I4/mmm (139)
Calculated total energy in eV per atom: -4.158
Spin magnetization in μB per formula unit: 0.000
DOS at the Fermi energy in states/eV/f.u.: 1.4
Formation energy from raw total energies in eV/atom: -0.04

a = 5.522 Å, b = 5.522 Å, c = 5.489 Å
α = 90.00°, β = 90.00°, γ = 90.00°
Sites, in units of the cell vectors:
In 0.000 0.000 0.000
In 0.500 0.500 0.500
P 0.000 0.000 0.500
P 0.500 0.500 0.000
Se 0.000 0.500 0.000
Se 0.000 0.500 0.500
Se 0.500 0.000 0.000
Se 0.500 0.000 0.500